VASP calculation (GGA-PBE) on a geometry-optimized Cd2FeRe structure.

Calculated values
Relative energy among the computed polymorphs: 0.422 eV per atom
E_form: 0.6675 eV/atom
Total DFT energy (no corrections): -0.3688 Ry/atom
DOS(E_F): 3.5 states/eV/cell

Lattice parameters (Å, degrees): 3.915 3.915 8.741 90.00 90.00 90.00
Space group I4/mmm (No. 139)
Unique sites:
Cd 0.000 0.500 0.250
Fe 0.000 0.000 0.000
Re 0.000 0.000 0.500